[1]
The following is a meta-GGA SCAN calculation of a PBEsol-optimized structure of PtWSe2, from Alexandria via LeMat-Bulk.

- energy relative to the elements, uncorrected (meV per atom) = -35
- energy above the lowest structure with this stoichiometry (eV per atom) = 0.000
- total energy (eV per cell) = -360.36

a b c (Å): 9.780 2.983 6.467
angles (deg): 90.00 108.93 90.00
Space group Cm (No. 8)
Inequivalent atoms, fractional coordinates:
Pt: 0.000 0.000 0.000 [2 per cell]
W: 0.307 0.000 0.083 [2 per cell]
Se: 0.143 0.500 0.798 [2 per cell]
Se: 0.327 0.500 0.395 [2 per cell]

---

[2]
The following is a meta-GGA SCAN calculation of a PBEsol-optimized structure of PtWSe2, from Alexandria via LeMat-Bulk.

- energy relative to the elements, uncorrected (meV per atom) = 672
- energy above the lowest structure with this stoichiometry (eV per atom) = 0.707
- total energy (eV per cell) = -532.05

a b c (Å): 3.3073 3.3073 24.0824
angles (deg): 90.00 90.00 120.00
Space group R-3m (No. 166, hexagonal axes)
Inequivalent atoms, fractional coordinates:
Pt: 0.0000 0.0000 0.0000 [3 per cell]
W: 0.0000 0.0000 0.5000 [3 per cell]
Se: 0.0000 0.0000 0.4010 [6 per cell]

---

[3]
The following is a meta-GGA SCAN calculation of a PBEsol-optimized structure of YPt2Se, from Alexandria via LeMat-Bulk.

- energy relative to the elements, uncorrected (meV per atom) = -800
- total energy (eV per cell) = -383.01

a b c (Å): 3.882 4.735 8.015
angles (deg): 90.00 90.00 90.00
Space group Imm2 (No. 44)
Inequivalent atoms, fractional coordinates:
Y: 0.000 0.000 0.000 [2 per cell]
Pt: 0.000 0.000 0.544 [2 per cell]
Pt: 0.000 0.500 0.794 [2 per cell]
Se: 0.000 0.500 0.236 [2 per cell]

---

[4]
The following is a meta-GGA SCAN calculation of a PBEsol-optimized structure of Y2PtSe, from Alexandria via LeMat-Bulk.

- energy relative to the elements, uncorrected (meV per atom) = -1728
- total energy (eV per cell) = -458.61

a b c (Å): 3.9536 3.9536 20.8935
angles (deg): 90.00 90.00 120.00
Space group R-3m (No. 166, hexagonal axes)
Inequivalent atoms, fractional coordinates:
Y: 0.0000 0.0000 0.2447 [6 per cell]
Pt: 0.0000 0.0000 0.5000 [3 per cell]
Se: 0.0000 0.0000 0.0000 [3 per cell]

---

[5]
The following is a meta-GGA SCAN calculation of a PBEsol-optimized structure of Y2PtSe, from Alexandria via LeMat-Bulk.

- energy relative to the elements, uncorrected (meV per atom) = -1672
- total energy (eV per cell) = -152.64

a b c (Å): 4.010 4.010 5.788
angles (deg): 90.00 90.00 90.00
Space group P4/mmm (No. 123)
Inequivalent atoms, fractional coordinates:
Y: 0.000 0.000 0.000 [1 per cell]
Y: 0.500 0.500 0.500 [1 per cell]
Pt: 0.000 0.000 0.500 [1 per cell]
Se: 0.500 0.500 0.000 [1 per cell]

---

[6]
The following is a meta-GGA SCAN calculation of a PBEsol-optimized structure of YPt2Se, from Alexandria via LeMat-Bulk.

- energy relative to the elements, uncorrected (meV per atom) = -957
- total energy (eV per cell) = -192.14

a b c (Å): 3.621 4.319 5.083
angles (deg): 90.00 92.65 90.00
Space group Pm (No. 6)
Inequivalent atoms, fractional coordinates:
Y: 0.000 0.000 0.000 [1 per cell]
Pt: 0.525 0.000 0.504 [1 per cell]
Pt: 0.540 0.500 0.201 [1 per cell]
Se: 0.418 0.500 0.725 [1 per cell]

---

[7]
The following is a meta-GGA SCAN calculation of a PBEsol-optimized structure of Y2PtSe, from Alexandria via LeMat-Bulk.

- energy relative to the elements, uncorrected (meV per atom) = -1422
- total energy (eV per cell) = -151.65

a b c (Å): 3.456 4.692 5.242
angles (deg): 90.00 90.00 90.00
Space group Pmmm (No. 47)
Inequivalent atoms, fractional coordinates:
Y: 0.000 0.000 0.000 [1 per cell]
Y: 0.000 0.500 0.500 [1 per cell]
Pt: 0.500 0.000 0.500 [1 per cell]
Se: 0.500 0.500 0.000 [1 per cell]

---

[8]
The following is a meta-GGA SCAN calculation of a PBEsol-optimized structure of YPt2Se, from Alexandria via LeMat-Bulk.

- energy relative to the elements, uncorrected (meV per atom) = -861
- total energy (eV per cell) = -191.75

a b c (Å): 3.838 4.108 4.545
angles (deg): 90.00 90.00 90.00
Space group Pmmm (No. 47)
Inequivalent atoms, fractional coordinates:
Y: 0.000 0.000 0.000 [1 per cell]
Pt: 0.000 0.500 0.500 [1 per cell]
Pt: 0.500 0.000 0.500 [1 per cell]
Se: 0.500 0.500 0.000 [1 per cell]

---

[9]
The following is a meta-GGA SCAN calculation of a PBEsol-optimized structure of ZnPt2Se, from Alexandria via LeMat-Bulk.

- energy relative to the elements, uncorrected (meV per atom) = -55
- total energy (eV per cell) = -522.59

a b c (Å): 2.9397 2.9397 24.6471
angles (deg): 90.00 90.00 120.00
Space group R-3m (No. 166, hexagonal axes)
Inequivalent atoms, fractional coordinates:
Zn: 0.0000 0.0000 0.0000 [3 per cell]
Pt: 0.0000 0.0000 0.2524 [6 per cell]
Se: 0.0000 0.0000 0.5000 [3 per cell]

---

[10]
The following is a meta-GGA SCAN calculation of a PBEsol-optimized structure of ZnPt2Se, from Alexandria via LeMat-Bulk.

- energy relative to the elements, uncorrected (meV per atom) = -53
- total energy (eV per cell) = -348.38

a b c (Å): 8.525 2.922 5.065
angles (deg): 90.00 102.76 90.00
Space group C2/m (No. 12)
Inequivalent atoms, fractional coordinates:
Zn: 0.000 0.000 0.000 [2 per cell]
Pt: 0.246 0.500 0.242 [4 per cell]
Se: 0.000 0.500 0.500 [2 per cell]

---

[11]
The following is a meta-GGA SCAN calculation of a PBEsol-optimized structure of ZnPt2Se, from Alexandria via LeMat-Bulk.

- energy relative to the elements, uncorrected (meV per atom) = -79
- total energy (eV per cell) = -348.59

a b c (Å): 9.716 2.912 4.428
angles (deg): 90.00 94.51 90.00
Space group Cm (No. 8)
Inequivalent atoms, fractional coordinates:
Zn: 0.000 0.000 0.000 [2 per cell]
Pt: 0.229 0.500 0.175 [2 per cell]
Pt: 0.481 0.000 0.489 [2 per cell]
Se: 0.247 0.000 0.667 [2 per cell]

---

[12]
The following is a meta-GGA SCAN calculation of a PBEsol-optimized structure of ZnPt2Se, from Alexandria via LeMat-Bulk.

- energy relative to the elements, uncorrected (meV per atom) = -50
- total energy (eV per cell) = -174.18

a b c (Å): 2.889 3.349 6.314
angles (deg): 90.00 90.00 90.00
Space group Pmmm (No. 47)
Inequivalent atoms, fractional coordinates:
Zn: 0.000 0.000 0.000 [1 per cell]
Pt: 0.500 0.500 0.231 [2 per cell]
Se: 0.000 0.000 0.500 [1 per cell]